# 1
Here is a relaxed TaRe2P crystal from Alexandria. Energies are from PBE.

Cell: 3.0813 4.2353 4.6690 Å, 90.00 90.00 90.00°
Fractional coordinates of all 4 atoms:
Ta: 0.0000 0.0000 0.0000
Re: 0.0000 0.5000 0.5000
Re: 0.5000 0.0000 0.5000
P: 0.5000 0.5000 0.0000

Results
Formation energy from the elements (meV/atom): 98
Offset from the most stable computed form (eV per atom): 0.3001
Raw total energy (Ry per atom): -0.7675
SG: Pmmm
D(E_F) (states/eV per atom): 0.67

***

# 2
Here is a relaxed TaRe2P crystal from Alexandria. Energies are from PBE.

Cell: 4.4193 4.4193 4.4193 Å, 60.00 60.00 60.00°
Fractional coordinates of all 4 atoms:
Ta: 0.0000 0.0000 0.0000
Re: 0.2500 0.2500 0.2500
Re: 0.5000 0.5000 0.5000
P: 0.7500 0.7500 0.7500

Results
Formation energy from the elements (meV/atom): 268
Offset from the most stable computed form (eV per atom): 0.4698
Raw total energy (Ry per atom): -0.7550
SG: F-43m
D(E_F) (states/eV per atom): 0.87

***

# 3
Here is a relaxed Ta4ReP crystal from Alexandria. Energies are from PBE.

Cell: 5.3306 5.3306 5.3306 Å, 60.00 60.00 60.00°
Fractional coordinates of all 6 atoms:
Ta: 0.1250 0.1250 0.1250
Ta: 0.1250 0.1250 0.6251
Ta: 0.1250 0.6251 0.1250
Ta: 0.6251 0.1250 0.1250
Re: 0.5000 0.5000 0.5000
P: 0.7500 0.7500 0.7500

Results
Formation energy from the elements (meV/atom): 636
Raw total energy (Ry per atom): -0.7528
SG: F-43m
D(E_F) (states/eV per atom): 0.36

***

# 4
Here is a relaxed TaRe2P crystal from Alexandria. Energies are from PBE.

Cell: 8.7863 8.7863 8.7863 Å, 18.68 18.68 18.68°
Fractional coordinates of all 4 atoms:
Ta: 0.0000 0.0000 0.0000
Re: 0.5105 0.5105 0.5105
Re: 0.7602 0.7602 0.7602
P: 0.2509 0.2509 0.2509

Results
Formation energy from the elements (meV/atom): 82
Offset from the most stable computed form (eV per atom): 0.2840
Raw total energy (Ry per atom): -0.7686
SG: R3m
D(E_F) (states/eV per atom): 1.33

***

# 5
Here is a relaxed TaRe2P crystal from Alexandria. Energies are from PBE.

Cell: 3.2164 6.2145 6.2145 Å, 29.56 90.00 90.00°
Fractional coordinates of all 4 atoms:
Ta: 0.0000 0.0000 0.0000
Re: 0.0000 0.7290 0.7290
Re: 0.5000 0.3541 0.3541
P: 0.5000 0.5831 0.5831

Results
Formation energy from the elements (meV/atom): -181
Offset from the most stable computed form (eV per atom): 0.0212
Raw total energy (Ry per atom): -0.7879
SG: Amm2
D(E_F) (states/eV per atom): 0.62

***

# 6
Here is a relaxed TaReP2 crystal from Alexandria. Energies are from PBE.

Cell: 4.5447 4.5447 4.4678 Å, 104.64 104.64 40.36°
Fractional coordinates of all 4 atoms:
Ta: 0.0000 0.0000 0.0000
Re: 0.7688 0.7688 0.3878
P: 0.2592 0.2592 0.8435
P: 0.5013 0.5013 0.5112

Results
Formation energy from the elements (meV/atom): -417
Offset from the most stable computed form (eV per atom): 0.0937
Raw total energy (Ry per atom): -0.6759
SG: Cm
D(E_F) (states/eV per atom): 0.37

***

Which formula does entry 2 have? TaRe2P

***

Look up the raw total energy of the third one. -0.7528 Ry per atom